DFT (PBE) results for an optimized crystal structure of Mn2BeCr.

The value obtained for the magnetic moment is 0.062 μB/atom. For the energy of formation from the pure elements, the calculation gives 0.0361 eV/atom.

```
data_Mn2BeCr
_chemical_formula_sum 'Mn2 Be1 Cr1'
_cell_length_a 2.525
_cell_length_b 3.400
_cell_length_c 4.891
_cell_angle_alpha 90.00
_cell_angle_beta 90.00
_cell_angle_gamma 90.00
_symmetry_space_group_name_H-M 'P m m 2'
_symmetry_Int_Tables_number 25
loop_
_symmetry_equiv_pos_as_xyz
'x,y,z'
'-x,-y,z'
'-x,y,z'
'x,-y,z'
loop_
_atom_site_label
_atom_site_fract_x
_atom_site_fract_y
_atom_site_fract_z
Mn1 0.000 0.000 0.000
Mn2 0.500 0.500 0.266
Be1 0.000 0.000 0.491
Cr1 0.500 0.500 0.726
```